[1]
A geometry-optimized LiErZn2Ga2 structure. Source: the Alexandria database, functional GGA-PBE.

Space group ... No. 164
Energy ... -2.909 eV per atom

Cell lengths 4.312, 4.312, 6.632 Å; angles 90.00, 90.00, 120.00 degrees
Sites, in units of the cell vectors:
Li1 0.000 0.000 0.500
Er1 0.000 0.000 0.000
Zn1 0.667 0.333 0.295
Zn2 0.333 0.667 0.705
Ga1 0.667 0.333 0.727
Ga2 0.333 0.667 0.273

[2]
A geometry-optimized AlSbMo2 structure. Source: the Alexandria database, functional GGA-PBE.

Space group ... No. 225
Polymorph energy (0 for the lowest one) ... 275.9 meV/atom
E_form (uncorrected) ... 0.2211 eV per atom

Cell lengths 4.564, 4.564, 4.564 Å; angles 60.00, 60.00, 60.00 degrees
Sites, in units of the cell vectors:
Sb1 0.500 0.500 0.500
Mo1 0.250 0.250 0.250
Mo2 0.750 0.750 0.750
Al1 0.000 0.000 0.000

[3]
A geometry-optimized FeBH2 structure. Source: the Alexandria database, functional GGA-PBE.

Space group ... No. 225
Polymorph energy (0 for the lowest one) ... 242.1 meV/atom

Cell lengths 3.104, 3.104, 3.104 Å; angles 60.00, 60.00, 60.00 degrees
Sites, in units of the cell vectors:
H1 0.250 0.250 0.250
H2 0.750 0.750 0.750
B1 0.000 0.000 0.000
Fe1 0.500 0.500 0.500

[4]
A geometry-optimized Ce2NpScP4 structure. Source: the Alexandria database, functional GGA-PBE.

Space group ... No. 10
Energy ... -7.920 eV per atom

Cell lengths 3.986, 6.876, 6.875 Å; angles 109.47, 90.00, 90.00 degrees
Sites, in units of the cell vectors:
Ce1 0.500 0.000 0.500
Ce2 0.000 0.500 0.500
Np1 0.000 0.000 0.000
Sc1 0.500 0.500 0.000
P1 0.500 0.251 0.236
P2 0.500 0.749 0.764
P3 0.000 0.260 0.766
P4 0.000 0.740 0.234

[5]
A geometry-optimized Pm6DyEr2Tm structure. Source: the Alexandria database, functional GGA-PBE.

Space group ... No. 15
Energy ... -4.553 eV per atom

Cell lengths 9.563, 8.893, 8.893 Å; angles 117.65, 93.70, 93.70 degrees
Sites, in units of the cell vectors:
Pm1 0.054 0.118 0.762
Pm2 0.446 0.238 0.882
Pm3 0.946 0.882 0.238
Pm4 0.554 0.762 0.118
Pm5 0.313 0.990 0.436
Pm6 0.187 0.564 0.010
Pm7 0.687 0.010 0.564
Pm8 0.813 0.436 0.990
Pm9 0.118 0.708 0.490
Pm10 0.382 0.510 0.292
Pm11 0.882 0.292 0.510
Pm12 0.618 0.490 0.708
Dy1 0.250 0.972 0.028
Dy2 0.750 0.028 0.972
Er1 0.454 0.798 0.699
Er2 0.046 0.301 0.202
Er3 0.546 0.202 0.301
Er4 0.954 0.699 0.798
Tm1 0.250 0.411 0.589
Tm2 0.750 0.589 0.411

[6]
A geometry-optimized HfScC2 structure. Source: the Alexandria database, functional GGA-PBE.

Space group ... No. 164
Polymorph energy (0 for the lowest one) ... 39.7 meV/atom

Cell lengths 3.246, 3.246, 5.867 Å; angles 90.00, 90.00, 120.00 degrees
Sites, in units of the cell vectors:
Hf1 0.000 0.500 0.500
Sc1 0.000 0.500 0.000
C1 0.667 0.833 0.739
C2 0.333 0.167 0.261

[7]
A geometry-optimized TaZn2In structure. Source: the Alexandria database, functional GGA-PBE.

Space group ... No. 119
Energy ... -4.085 eV per atom

Cell lengths 5.363, 5.363, 5.363 Å; angles 137.33, 137.33, 61.93 degrees
Sites, in units of the cell vectors:
In1 0.500 0.500 0.000
Ta1 0.750 0.250 0.500
Zn1 0.000 0.000 0.000
Zn2 0.250 0.750 0.500

[8]
A geometry-optimized Cu2TeAs structure. Source: the Alexandria database, functional GGA-PBE.

Space group ... No. 12
Polymorph energy (0 for the lowest one) ... 162.4 meV/atom
E_form (uncorrected) ... 0.2212 eV per atom

Cell lengths 4.574, 4.784, 4.592 Å; angles 67.38, 78.49, 112.48 degrees
Sites, in units of the cell vectors:
As1 0.500 0.500 0.000
Cu1 0.000 0.000 0.000
Cu2 0.500 0.000 0.500
Te1 0.000 0.500 0.500

[9]
A geometry-optimized Er8CoNi2 structure. Source: the Alexandria database, functional GGA-PBE.

Space group ... No. 12
Polymorph energy (0 for the lowest one) ... 0.0 meV/atom

Cell lengths 4.948, 6.522, 8.761 Å; angles 105.34, 106.40, 90.00 degrees
Sites, in units of the cell vectors:
Er1 0.409 0.558 0.819
Er2 0.668 0.976 0.336
Er3 0.798 0.676 0.596
Er4 0.965 0.206 0.929
Er5 0.202 0.324 0.404
Er6 0.332 0.024 0.664
Er7 0.591 0.442 0.181
Er8 0.035 0.794 0.071
Co1 0.500 0.000 0.000
Ni1 0.812 0.280 0.624
Ni2 0.188 0.720 0.376

[10]
A geometry-optimized NaTiIn structure. Source: the Alexandria database, functional GGA-PBE.

Space group ... No. 8
Polymorph energy (0 for the lowest one) ... 200.0 meV/atom

Cell lengths 8.180, 8.175, 8.175 Å; angles 146.30, 146.33, 33.67 degrees
Sites, in units of the cell vectors:
Na1 0.422 0.734 0.266
Na2 0.157 0.468 0.532
Ti1 0.620 0.930 0.070
Ti2 0.288 0.598 0.402
In1 0.014 0.326 0.674
In2 0.893 0.203 0.797

[11]
A geometry-optimized SrMg2CrN4 structure. Source: the Alexandria database, functional GGA-PBE.

Space group ... No. 31
E_form (uncorrected) ... -0.7615 eV per atom

Cell lengths 5.443, 5.690, 7.243 Å; angles 90.00, 90.00, 90.00 degrees
Sites, in units of the cell vectors:
Sr1 0.980 0.153 0.500
Sr2 0.480 0.847 0.000
Mg1 0.495 0.335 0.257
Mg2 0.495 0.335 0.743
Mg3 0.995 0.665 0.757
Mg4 0.995 0.665 0.243
Cr1 0.503 0.802 0.500
Cr2 0.003 0.198 0.000
N1 0.320 0.260 0.000
N2 0.820 0.740 0.500
N3 0.467 0.117 0.500
N4 0.967 0.883 0.000
N5 0.369 0.676 0.694
N6 0.869 0.324 0.194
N7 0.869 0.324 0.806
N8 0.369 0.676 0.306

[12]
A geometry-optimized Ce8Co2Ru structure. Source: the Alexandria database, functional GGA-PBE.

Space group ... No. 12
Polymorph energy (0 for the lowest one) ... 2.4 meV/atom

Cell lengths 5.250, 5.870, 8.904 Å; angles 105.92, 107.15, 90.00 degrees
Sites, in units of the cell vectors:
Ce1 0.410 0.529 0.820
Ce2 0.683 0.979 0.366
Ce3 0.795 0.687 0.590
Ce4 0.972 0.216 0.945
Ce5 0.205 0.313 0.410
Ce6 0.317 0.021 0.634
Ce7 0.590 0.471 0.180
Ce8 0.028 0.784 0.055
Co1 0.847 0.309 0.694
Co2 0.153 0.691 0.306
Ru1 0.500 0.000 0.000

[13]
A geometry-optimized ScNbCd2 structure. Source: the Alexandria database, functional GGA-PBE.

Space group ... No. 122
Polymorph energy (0 for the lowest one) ... 330.0 meV/atom

Cell lengths 7.918, 7.918, 6.271 Å; angles 50.85, 50.85, 90.00 degrees
Sites, in units of the cell vectors:
Sc1 0.500 0.500 0.000
Sc2 0.250 0.750 0.500
Nb1 0.000 0.000 0.000
Nb2 0.750 0.250 0.500
Cd1 0.634 0.125 0.250
Cd2 0.116 0.625 0.250
Cd3 0.375 0.366 0.750
Cd4 0.875 0.884 0.750

[14]
A geometry-optimized MgCd8In2 structure. Source: the Alexandria database, functional GGA-PBE.

Space group ... No. 12
Polymorph energy (0 for the lowest one) ... 4.6 meV/atom

Cell lengths 6.211, 6.184, 8.912 Å; angles 110.30, 120.39, 90.00 degrees
Sites, in units of the cell vectors:
Mg1 0.000 0.000 0.000
Cd1 0.247 0.659 0.816
Cd2 0.753 0.843 0.184
Cd3 0.228 0.235 0.470
Cd4 0.772 0.765 0.530
Cd5 0.247 0.157 0.816
Cd6 0.753 0.341 0.184
Cd7 0.723 0.430 0.860
Cd8 0.277 0.570 0.140
In1 0.721 0.247 0.494
In2 0.279 0.753 0.506

[15]
A geometry-optimized LiSmInPd structure. Source: the Alexandria database, functional GGA-PBE.

Space group ... No. 216
Energy ... -4.217 eV per atom

Cell lengths 4.871, 4.871, 4.871 Å; angles 60.00, 60.00, 60.00 degrees
Sites, in units of the cell vectors:
Li1 0.000 0.000 0.000
Pd1 0.500 0.500 0.500
Sm1 0.750 0.750 0.750
In1 0.250 0.250 0.250

[16]
A geometry-optimized ErZrFe10 structure. Source: the Alexandria database, functional GGA-PBE.

Space group ... No. 47
Energy ... -8.218 eV per atom

Cell lengths 3.950, 4.917, 8.485 Å; angles 90.00, 90.00, 90.00 degrees
Sites, in units of the cell vectors:
Er1 0.000 0.000 0.000
Zr1 0.000 0.500 0.500
Fe1 0.000 0.000 0.337
Fe2 0.000 0.500 0.830
Fe3 0.000 0.500 0.170
Fe4 0.000 0.000 0.663
Fe5 0.500 0.000 0.500
Fe6 0.500 0.500 0.000
Fe7 0.500 0.252 0.254
Fe8 0.500 0.748 0.746
Fe9 0.500 0.748 0.254
Fe10 0.500 0.252 0.746

[17]
A geometry-optimized NdCuNiHg structure. Source: the Alexandria database, functional GGA-PBE.

Space group ... No. 216
Energy ... -3.872 eV per atom

Cell lengths 4.755, 4.755, 4.755 Å; angles 60.00, 60.00, 60.00 degrees
Sites, in units of the cell vectors:
Ni1 0.000 0.000 0.000
Nd1 0.750 0.750 0.750
Hg1 0.250 0.250 0.250
Cu1 0.500 0.500 0.500

[18]
A geometry-optimized Mg2Mn2H structure. Source: the Alexandria database, functional GGA-PBE.

Space group ... No. 127
Polymorph energy (0 for the lowest one) ... 0.0 meV/atom

Cell lengths 5.532, 5.532, 4.821 Å; angles 90.00, 90.00, 90.00 degrees
Sites, in units of the cell vectors:
H1 0.000 0.000 0.000
H2 0.500 0.500 0.000
Mg1 0.169 0.669 0.500
Mg2 0.669 0.831 0.500
Mg3 0.831 0.331 0.500
Mg4 0.331 0.169 0.500
Mn1 0.333 0.833 0.000
Mn2 0.833 0.667 0.000
Mn3 0.667 0.167 0.000
Mn4 0.167 0.333 0.000

[19]
A geometry-optimized Zn9AgRh2 structure. Source: the Alexandria database, functional GGA-PBE.

Space group ... No. 123
Energy ... -2.641 eV per atom

Cell lengths 3.854, 3.854, 11.697 Å; angles 90.00, 90.00, 90.00 degrees
Sites, in units of the cell vectors:
Zn1 0.500 0.500 0.000
Zn2 0.500 0.500 0.336
Zn3 0.500 0.500 0.664
Zn4 0.500 0.000 0.176
Zn5 0.500 0.000 0.500
Zn6 0.500 0.000 0.824
Zn7 0.000 0.500 0.176
Zn8 0.000 0.500 0.500
Zn9 0.000 0.500 0.824
Ag1 0.000 0.000 0.000
Rh1 0.000 0.000 0.340
Rh2 0.000 0.000 0.660

[20]
A geometry-optimized Zn3Ga12Sn5 structure. Source: the Alexandria database, functional GGA-PBE.

Space group ... No. 230
Energy ... -2.881 eV per atom

Cell lengths 13.562, 13.562, 13.562 Å; angles 109.47, 109.47, 109.47 degrees
Sites, in units of the cell vectors:
Zn1 0.750 0.375 0.125
Zn2 0.875 0.750 0.125
Zn3 0.375 0.750 0.625
Zn4 0.250 0.125 0.375
Zn5 0.875 0.125 0.250
Zn6 0.375 0.625 0.250
Zn7 0.625 0.375 0.750
Zn8 0.125 0.875 0.750
Zn9 0.750 0.875 0.625
Zn10 0.625 0.250 0.375
Zn11 0.125 0.250 0.875
Zn12 0.250 0.625 0.875
Sn1 0.125 0.375 0.250
Sn2 0.000 0.500 0.000
Sn3 0.000 0.000 0.000
Sn4 0.375 0.250 0.125
Sn5 0.500 0.000 0.500
Sn6 0.500 0.500 0.000
Sn7 0.125 0.750 0.375
Sn8 0.750 0.125 0.875
Sn9 0.750 0.625 0.375
Sn10 0.375 0.125 0.750
Sn11 0.625 0.875 0.250
Sn12 0.500 0.500 0.500
Sn13 0.500 0.000 0.000
Sn14 0.000 0.000 0.500
Sn15 0.250 0.375 0.625
Sn16 0.250 0.875 0.125
Sn17 0.000 0.500 0.500
Sn18 0.875 0.250 0.625
Sn19 0.625 0.750 0.875
Sn20 0.875 0.625 0.750
Ga1 0.746 0.132 0.074
Ga2 0.327 0.574 0.442
Ga3 0.926 0.368 0.254
Ga4 0.574 0.246 0.132
Ga5 0.614 0.746 0.673
Ga6 0.926 0.558 0.173
Ga7 0.327 0.754 0.386
Ga8 0.058 0.886 0.132
Ga9 0.558 0.926 0.673
Ga10 0.746 0.614 0.173
Ga11 0.754 0.426 0.368
Ga12 0.827 0.942 0.074
Ga13 0.132 0.746 0.574
Ga14 0.368 0.442 0.114
Ga15 0.114 0.942 0.368
Ga16 0.386 0.132 0.558
Ga17 0.114 0.173 0.246
Ga18 0.426 0.673 0.058
Ga19 0.827 0.886 0.254
Ga20 0.132 0.386 0.058
Ga21 0.368 0.926 0.754
Ga22 0.558 0.632 0.386
Ga23 0.942 0.827 0.574
Ga24 0.754 0.327 0.886
Ga25 0.442 0.368 0.614
Ga26 0.058 0.173 0.426
Ga27 0.246 0.673 0.114
Ga28 0.173 0.114 0.746
Ga29 0.632 0.074 0.246
Ga30 0.868 0.614 0.942
Ga31 0.574 0.327 0.942
Ga32 0.614 0.868 0.442
Ga33 0.886 0.827 0.754
Ga34 0.886 0.058 0.632
Ga35 0.868 0.254 0.426
Ga36 0.173 0.058 0.926
Ga37 0.632 0.558 0.886
Ga38 0.442 0.074 0.327
Ga39 0.254 0.386 0.827
Ga40 0.246 0.574 0.632
Ga41 0.942 0.114 0.868
Ga42 0.673 0.246 0.614
Ga43 0.426 0.754 0.868
Ga44 0.074 0.442 0.827
Ga45 0.386 0.254 0.327
Ga46 0.074 0.632 0.746
Ga47 0.673 0.426 0.558
Ga48 0.254 0.868 0.926